(1)
DFT (PBE-GGA) results for a relaxed structure of BaCr3Si.

```
BaCr3Si
1.0
-2.5490 -0.8712 3.9711
0.9156 -4.6897 -0.4412
3.9611 0.5234 2.6574
Cr Ba Si
3 1 1
Cartesian
-1.2745 -0.4356 1.9855 Cr
1.9805 0.2617 1.3287 Cr
0.4578 -2.3448 -0.2206 Cr
1.1638 -2.5188 3.0937 Ba
0.0000 0.0000 0.0000 Si
```

Properties
Excess energy over the best structure of this formula in the dataset (meV per atom): 0
Calculated volume (A^3/atom): 22.1
M_tot (μB per cell): 10.053
Uncorrected formation energy (kJ per mole of atoms): 77.4
Crystal system: cubic
Space group: Pm-3m (221)
Mass density (kg/m³): 4830

---

(2)
DFT (PBE-GGA) results for a relaxed structure of Nd3Zn.

```
Nd3Zn
1.0
-3.0120 2.0756 4.8333
0.1607 -3.9288 4.6130
4.2707 2.3879 -3.5778
Nd Zn
3 1
Cartesian
-0.0835 1.7684 2.9894 Nd
1.5029 -1.2337 2.8792 Nd
-1.4256 -0.9266 4.7232 Nd
0.0000 0.0000 0.0000 Zn
```

Properties
Calculated volume (A^3/atom): 29.0
M_tot (μB per cell): 0.000
Crystal system: tetragonal
Calculated formation energy (eV per atom): -0.04
Space group: I4/mmm (139)
Mass density (kg/m³): 7138

---

(3)
DFT (PBE-GGA) results for a relaxed structure of AcIrRu2O8.

```
AcIrRu2O8
1.0
4.8385 0.0644 -0.0030
0.1120 4.8315 -0.0051
0.0049 0.0078 6.5703
O Ru Ac Ir
8 2 1 1
Cartesian
1.5003 1.4595 -0.0024 O
3.8431 1.0960 1.3720 O
3.2600 3.2635 3.2794 O
3.4551 3.4442 6.5647 O
1.6953 1.6401 3.2829 O
1.1123 3.8076 5.1903 O
3.8463 1.1010 5.1914 O
1.1090 3.8027 1.3708 O
2.4764 2.4498 1.5528 Ru
2.4790 2.4539 5.0094 Ru
0.0025 0.0039 3.2852 Ac
0.0000 0.0000 0.0000 Ir
```

Properties
Calculated volume (A^3/atom): 12.8
M_tot (μB per cell): 2.152
Uncorrected formation energy (kJ per mole of atoms): -121.0
Crystal system: monoclinic
Space group: P2/m (10)
Mass density (kg/m³): 8104

---

(4)
DFT (PBE-GGA) results for a relaxed structure of CaGeB2Te.

```
CaGeB2Te
1.0
-0.4251 -4.1658 0.5410
2.2427 0.5173 5.7455
-3.9123 0.5907 1.4739
B Ge Ca Te
2 1 1 1
Cartesian
-1.9561 0.2953 0.7370 B
-0.2126 -2.0829 0.2705 B
0.0000 0.0000 0.0000 Ge
1.1213 0.2586 2.8727 Ca
-1.0474 -1.5289 3.8802 Te
```

Properties
Calculated volume (A^3/atom): 22.1
M_tot (μB per cell): 0.000
Uncorrected formation energy (kJ per mole of atoms): 74.7
Crystal system: tetragonal
Space group: P4/mmm (123)
Mass density (kg/m³): 3942

---

(5)
DFT (PBE-GGA) results for a relaxed structure of AcPm6Tm.

```
AcPm6Tm
1.0
6.4172 0.0678 2.4501
0.5352 6.8024 -0.0136
1.0565 -0.2943 6.8657
Pm Tm Ac
6 1 1
Cartesian
6.5343 1.7792 5.9177 Pm
1.4746 4.7967 3.3845 Pm
3.0250 1.7705 1.2980 Pm
4.5714 4.9573 4.7308 Pm
3.4376 1.6186 4.5714 Pm
4.9839 4.8054 8.0042 Pm
0.2676 3.4012 -0.0068 Tm
0.0000 0.0000 0.0000 Ac
```

Properties
Excess energy over the best structure of this formula in the dataset (meV per atom): 150
Calculated volume (A^3/atom): 35.2
M_tot (μB per cell): 0.000
Crystal system: triclinic
Calculated formation energy (eV per atom): 0.18
Space group: P-1 (2)
Mass density (kg/m³): 7469

---

(6)
DFT (PBE-GGA) results for a relaxed structure of Tm6S5N.

```
Tm6S5N
1.0
0.8653 -1.8381 -6.2449
3.3394 -3.1459 6.0192
-6.4079 -1.1620 0.5917
Tm N S
6 1 5
Cartesian
-3.4630 -2.6058 -4.4466 Tm
-1.6510 -4.3067 -1.1333 Tm
1.1709 -1.5742 -1.4841 Tm
1.2597 -3.5402 4.8126 Tm
-0.5522 -1.8393 1.4993 Tm
3.0338 -3.4098 1.2584 Tm
0.0000 0.0000 0.0000 N
-1.1524 -3.9680 3.3235 S
0.6681 -3.7092 0.0467 S
1.6697 -1.5730 3.0096 S
-2.8713 -2.4368 0.3194 S
-1.0508 -2.1780 -2.9574 S
```

Properties
Calculated volume (A^3/atom): 19.1
M_tot (μB per cell): 0.000
Uncorrected formation energy (kJ per mole of atoms): -182.3
Crystal system: monoclinic
Space group: C2/m (12)
Mass density (kg/m³): 8611

---

(7)
DFT (PBE-GGA) results for a relaxed structure of Ba2Cd2Bi.

```
Ba2Cd2Bi
1.0
4.3333 0.0000 0.0000
0.0000 4.3333 0.0000
2.1666 2.1666 10.3916
Cd Bi Ba
2 1 2
Cartesian
4.3333 2.1666 5.1958 Cd
2.1666 4.3333 5.1958 Cd
0.0000 0.0000 0.0000 Bi
2.1666 2.1666 1.9938 Ba
4.3333 4.3333 8.3978 Ba
```

Properties
Excess energy over the best structure of this formula in the dataset (meV per atom): 21
Calculated volume (A^3/atom): 39.0
M_tot (μB per cell): 0.000
Crystal system: tetragonal
Calculated formation energy (eV per atom): -0.43
Space group: I4/mmm (139)
Mass density (kg/m³): 6029

---

(8)
DFT (PBE-GGA) results for a relaxed structure of Pm4SmY.

```
Pm4SmY
1.0
-6.4181 1.5483 -1.0556
-4.5809 -1.3654 4.6749
-2.8489 4.9737 3.4423
Pm Y Sm
4 1 1
Cartesian
-8.6606 3.2250 4.4164 Pm
-5.4411 2.4483 4.9459 Pm
-6.3627 3.9099 2.0713 Pm
-7.2315 0.7301 2.6897 Pm
0.0000 0.0000 0.0000 Y
-3.4620 1.2892 1.7654 Sm
```

Properties
Excess energy over the best structure of this formula in the dataset (meV per atom): 189
Calculated volume (A^3/atom): 35.2
M_tot (μB per cell): 0.000
Crystal system: cubic
Calculated formation energy (eV per atom): 0.24
Space group: F-43m (216)
Mass density (kg/m³): 6437